Here is crystalline Zr3O at its relaxed geometry from Alexandria via LeMat-Bulk. Energies are from PBE.

Lattice parameters (Å, degrees): 5.630 8.050 8.050 82.98 69.53 69.53
Fractional positions:
O 0.000 0.181 0.818
Zr 0.130 0.370 0.369
Zr 0.796 0.780 0.000
O 0.818 0.182 0.181
Zr 0.643 0.000 0.362
Zr 0.577 0.220 0.000
Zr 0.869 0.630 0.631
Zr 0.500 0.631 0.370
Zr 0.356 0.638 0.000
O 0.182 0.818 0.819
Zr 0.501 0.369 0.630
Zr 0.203 0.000 0.220
Zr 0.006 0.000 0.638
Zr 0.423 0.000 0.780
Zr 0.994 0.362 0.000
O 0.000 0.819 0.182

Calculated values
Space-group type: No. 82
Total DFT energy (no corrections) (eV per atom): -8.527
Mass density (Mg/m³): 6.0